No. 1
## TcAs2Br (GGA-PBE)

Data for a geometry-optimized TcAs2Br structure.

Results
- DOS(E_F) (states/eV per cell) = 0.33
- total energy (eV per atom) = -5.17
- energy above the most stable polymorph in this dataset (meV per atom) = 170

Cell lengths 3.966, 4.077, 6.127 Å; angles 90.00, 91.75, 90.00 degrees
Sites, in units of the cell vectors:
Tc1 0.000 0.000 0.000
As1 0.473 0.000 0.264
As2 0.847 0.500 0.183
Br1 0.088 0.500 0.712

No. 2
## CaMnBiB2 (GGA-PBE)

Data for a geometry-optimized CaMnBiB2 structure.

Results
- DOS(E_F) (states/eV per cell) = 3.95
- calculated formation energy (eV/atom) = 0.96
- total energy (eV per atom) = -4.72

Cell lengths 4.220, 4.220, 5.244 Å; angles 90.00, 90.00, 90.00 degrees
Sites, in units of the cell vectors:
Ca1 0.000 0.000 0.000
Mn1 0.000 0.000 0.500
Bi1 0.500 0.500 0.000
B1 0.000 0.500 0.500
B2 0.500 0.000 0.500

No. 3
## HfSb2 (GGA-PBE)

Data for a geometry-optimized HfSb2 structure.

Results
- DOS(E_F) (states/eV per cell) = 3.36
- total energy (eV per atom) = -6.41

Cell lengths 4.146, 4.146, 8.556 Å; angles 90.00, 90.00, 90.00 degrees
Sites, in units of the cell vectors:
Hf1 0.250 0.250 0.235
Hf2 0.750 0.750 0.765
Sb1 0.250 0.250 0.881
Sb2 0.250 0.750 0.500
Sb3 0.750 0.250 0.500
Sb4 0.750 0.750 0.119

No. 4
## TaHgPt2 (GGA-PBE)

Data for a geometry-optimized TaHgPt2 structure.

Results
- DOS(E_F) (states/eV per cell) = 3.51
- calculated formation energy (eV/atom) = -0.15
- total energy (eV per atom) = -6.21

Cell lengths 2.906, 4.052, 5.982 Å; angles 90.00, 90.00, 90.00 degrees
Sites, in units of the cell vectors:
Ta1 0.000 0.000 0.000
Hg1 0.500 0.500 0.302
Pt1 0.000 0.000 0.549
Pt2 0.500 0.500 0.808

No. 5
## SrBe2Cl (GGA-PBE)

Data for a geometry-optimized SrBe2Cl structure.

Results
- DOS(E_F) (states/eV per cell) = 2.23
- total energy (eV per atom) = -2.91
- energy above the most stable polymorph in this dataset (meV per atom) = 0

Cell lengths 4.084, 4.084, 6.237 Å; angles 90.00, 90.00, 120.00 degrees
Sites, in units of the cell vectors:
Sr1 0.000 0.000 0.000
Be1 0.333 0.667 0.310
Be2 0.667 0.333 0.345
Cl1 0.667 0.333 0.704

No. 6
## Pm12Cd5Ge3 (GGA-PBE)

Data for a geometry-optimized Pm12Cd5Ge3 structure.

Results
- DOS(E_F) (states/eV per cell) = 93.83
- calculated formation energy (eV/atom) = 0.09
- total energy (eV per atom) = -3.68

Cell lengths 15.374, 15.374, 15.374 Å; angles 109.47, 109.47, 109.47 degrees
Sites, in units of the cell vectors:
Pm1 0.067 0.231 0.135
Pm2 0.067 0.336 0.932
Pm3 0.068 0.635 0.404
Pm4 0.068 0.933 0.664
Pm5 0.096 0.731 0.664
Pm6 0.096 0.865 0.432
Pm7 0.135 0.067 0.231
Pm8 0.135 0.568 0.904
Pm9 0.164 0.231 0.596
Pm10 0.164 0.433 0.568
Pm11 0.231 0.135 0.067
Pm12 0.231 0.596 0.164
Pm13 0.269 0.336 0.904
Pm14 0.269 0.433 0.365
Pm15 0.336 0.904 0.269
Pm16 0.336 0.932 0.067
Pm17 0.365 0.269 0.433
Pm18 0.365 0.596 0.932
Pm19 0.404 0.068 0.635
Pm20 0.404 0.836 0.769
Pm21 0.432 0.096 0.865
Pm22 0.432 0.836 0.567
Pm23 0.433 0.365 0.269
Pm24 0.433 0.568 0.164
Pm25 0.567 0.432 0.836
Pm26 0.567 0.635 0.731
Pm27 0.568 0.164 0.433
Pm28 0.568 0.904 0.135
Pm29 0.596 0.164 0.231
Pm30 0.596 0.932 0.365
Pm31 0.635 0.404 0.068
Pm32 0.635 0.731 0.567
Pm33 0.664 0.068 0.933
Pm34 0.664 0.096 0.731
Pm35 0.731 0.567 0.635
Pm36 0.731 0.664 0.096
Pm37 0.769 0.404 0.836
Pm38 0.769 0.865 0.933
Pm39 0.836 0.567 0.432
Pm40 0.836 0.769 0.404
Pm41 0.865 0.432 0.096
Pm42 0.865 0.933 0.769
Pm43 0.904 0.135 0.568
Pm44 0.904 0.269 0.336
Pm45 0.932 0.067 0.336
Pm46 0.932 0.365 0.596
Pm47 0.933 0.664 0.068
Pm48 0.933 0.769 0.865
Cd1 0.000 0.000 0.000
Cd2 0.000 0.000 0.500
Cd3 0.000 0.500 0.000
Cd4 0.000 0.500 0.500
Cd5 0.125 0.750 0.875
Cd6 0.125 0.875 0.250
Cd7 0.250 0.125 0.875
Cd8 0.250 0.625 0.375
Cd9 0.375 0.250 0.625
Cd10 0.375 0.625 0.750
Cd11 0.500 0.000 0.000
Cd12 0.500 0.000 0.500
Cd13 0.500 0.500 0.000
Cd14 0.500 0.500 0.500
Cd15 0.625 0.375 0.250
Cd16 0.625 0.750 0.375
Cd17 0.750 0.375 0.625
Cd18 0.750 0.875 0.125
Cd19 0.875 0.125 0.750
Cd20 0.875 0.250 0.125
Ge1 0.125 0.250 0.375
Ge2 0.125 0.375 0.750
Ge3 0.250 0.375 0.125
Ge4 0.250 0.875 0.625
Ge5 0.375 0.125 0.250
Ge6 0.375 0.750 0.125
Ge7 0.625 0.250 0.875
Ge8 0.625 0.875 0.750
Ge9 0.750 0.125 0.375
Ge10 0.750 0.625 0.875
Ge11 0.875 0.625 0.250
Ge12 0.875 0.750 0.625